Below is crystalline TcTeBrN2 at its relaxed geometry, with properties calculated at the PBE level.

SG   No. 123
Offset from the most stable computed form   8.624 eV/f.u.
Total DFT energy (no corrections)   -3.97 eV/atom
Formation energy without anion corrections   2392 meV per atom
DOS at the Fermi energy   5.02 states/eV per cell

Cell: 3.9147 3.9147 7.2956 Å, 90.00 90.00 90.00°
Closest atoms and distances in Å follow each position.
Element x y z (fractional)
Tc 0.0000 0.0000 0.0000  4 Te 2.77
Te 0.5000 0.5000 0.0000  4 Tc 2.77
Br 0.5000 0.5000 0.5000  4 N 1.96
N 0.0000 0.5000 0.5000  2 Br 1.96
N 0.5000 0.0000 0.5000  2 Br 1.96